# 1
Material: PRuBr2
Method: DFT, PBE
State: relaxed

- M_tot (μB per formula unit) = 1.0
- formation energy (no corrections) (eV per atom) = 0.19
- total DFT energy (no corrections) (Ha/atom) = -0.159
- energy above the most stable polymorph in this dataset (meV/atom) = 434.2

Unit cell a=8.058 b=8.058 c=3.785 alpha=93.75 beta=93.75 gamma=22.78
Positions (direct):
P (0.000, 0.000, 0.000)
Ru (0.500, 0.500, 0.500)
Br (0.142, 0.142, 0.710)
Br (0.858, 0.858, 0.290)

---

# 2
Material: P2RuBr
Method: DFT, PBE
State: relaxed

- M_tot (μB per formula unit) = 0.9
- formation energy (no corrections) (eV per atom) = 0.95
- total DFT energy (no corrections) (Ha/atom) = -0.165
- energy above the most stable polymorph in this dataset (meV/atom) = 1053.5

Unit cell a=4.480 b=4.480 c=4.480 alpha=60.00 beta=60.00 gamma=60.00
Positions (direct):
P (0.250, 0.250, 0.250)
P (0.750, 0.750, 0.750)
Ru (0.000, 0.000, 0.000)
Br (0.500, 0.500, 0.500)

---

# 3
Material: P2RuBr
Method: DFT, PBE
State: relaxed

- M_tot (μB per formula unit) = 0.0
- formation energy (no corrections) (eV per atom) = 0.06
- total DFT energy (no corrections) (Ha/atom) = -0.198
- energy above the most stable polymorph in this dataset (meV/atom) = 157.9

Unit cell a=2.830 b=2.830 c=10.889 alpha=90.00 beta=90.00 gamma=90.00
Positions (direct):
P (0.000, 0.000, 0.142)
P (0.000, 0.000, 0.858)
Ru (0.500, 0.500, 0.000)
Br (0.500, 0.500, 0.500)